Below is an optimized crystal structure of ZrMnO2, with properties calculated at the GGA+U level.

Cell: 6.4293 6.4293 6.4293 Å, 30.50 30.50 30.50°
Last column: nearest neighbours and their distance in Å.
Fractional positions:
Zr: 0.5000 0.5000 0.5000  6 O 2.16
O: 0.1170 0.1170 0.1170  1 Mn 2.15, 3 Zr 2.16
O: 0.8830 0.8830 0.8830  1 Mn 2.15, 3 Zr 2.16
Mn: 0.0000 0.0000 0.0000  2 O 2.15

## Properties
Total moment, μB per cell: 4.93
E_tot, eV/atom: -8.5120